1.
VASP calculation (GGA-PBE) on a geometry-optimized TlRuPbC2 structure.

```
TlRuPbC2
1.0
4.2772 0.0000 0.0000
0.0000 4.2772 0.0000
0.0000 0.0000 6.1132
Tl Ru Pb C
1 1 1 2
direct
0.0000 0.0000 0.0000 Tl
0.5000 0.5000 0.5000 Ru
0.0000 0.0000 0.5000 Pb
0.0000 0.5000 0.0000 C
0.5000 0.0000 0.0000 C
```

Computed properties:
total DFT energy (no corrections) = -18.65 eV per formula unit
space-group type = P4/mmm (123)


2.
VASP calculation (GGA-PBE) on a geometry-optimized Tl2RuPbC structure.

```
Tl2RuPbC
1.0
5.3917 0.0000 0.0000
0.0000 5.3917 0.0000
0.0000 0.0000 3.9175
Tl Ru Pb C
2 1 1 1
direct
0.0000 0.5000 0.0000 Tl
0.5000 0.0000 0.0000 Tl
0.0000 0.0000 0.5000 Ru
0.5000 0.5000 0.5000 Pb
0.0000 0.0000 0.0000 C
```

Computed properties:
total DFT energy (no corrections) = -22.85 eV per formula unit
space-group type = P4/mmm (123)


3.
VASP calculation (GGA-PBE) on a geometry-optimized PbCS2 structure.

```
PbCS2
1.0
1.6001 0.9238 8.2184
-1.6001 0.9238 8.2184
0.0000 -1.8476 8.2184
Pb C S
1 1 2
direct
0.0000 0.0000 0.0000 Pb
0.5000 0.5000 0.5000 C
0.1184 0.1184 0.1184 S
0.8816 0.8816 0.8816 S
```

Computed properties:
formation energy (no corrections) = 1160 meV per atom
total DFT energy (no corrections) = -16.55 eV per formula unit
space-group type = R-3m (166)
energy above the lowest structure with this stoichiometry = 70.7 kJ/mol of atoms


4.
VASP calculation (GGA-PBE) on a geometry-optimized Pb2C2S structure.

```
Pb2C2S
1.0
7.0312 0.0000 0.0000
0.0000 7.0312 0.0000
0.0000 0.0000 3.5888
Pb C S
4 4 2
direct
0.1606 0.3394 0.0000 Pb
0.3394 0.8394 0.0000 Pb
0.6606 0.1606 0.0000 Pb
0.8394 0.6606 0.0000 Pb
0.1718 0.6718 0.5000 C
0.3282 0.1718 0.5000 C
0.6718 0.8282 0.5000 C
0.8282 0.3282 0.5000 C
0.0000 0.0000 0.5000 S
0.5000 0.5000 0.5000 S
```

Computed properties:
formation energy (no corrections) = 1774 meV per atom
total DFT energy (no corrections) = -21.12 eV per formula unit
space-group type = P4/mbm (127)
energy above the lowest structure with this stoichiometry = 98.7 kJ/mol of atoms


5.
VASP calculation (GGA-PBE) on a geometry-optimized PbCS2 structure.

```
PbCS2
1.0
-2.9838 2.9838 4.5126
2.9838 -2.9838 4.5126
2.9838 2.9838 -4.5126
Pb C S
2 2 4
direct
0.0000 0.0000 0.0000 Pb
0.7500 0.2500 0.5000 Pb
0.2500 0.7500 0.5000 C
0.5000 0.5000 0.0000 C
0.2752 0.6250 0.1502 S
0.3750 0.5252 0.6502 S
0.4748 0.1250 0.8498 S
0.8750 0.7248 0.3498 S
```

Computed properties:
formation energy (no corrections) = 803 meV per atom
total DFT energy (no corrections) = -17.97 eV per formula unit
space-group type = I-42d (122)
energy above the lowest structure with this stoichiometry = 36.3 kJ/mol of atoms


6.
VASP calculation (GGA-PBE) on a geometry-optimized PbCS2 structure.

```
PbCS2
1.0
1.8656 1.0771 8.0638
-1.8656 1.0771 8.0638
0.0000 -2.1542 8.0638
Pb C S
1 1 2
direct
0.0000 0.0000 0.0000 Pb
0.5000 0.5000 0.5000 C
0.4350 0.4350 0.4350 S
0.5650 0.5650 0.5650 S
```

Computed properties:
formation energy (no corrections) = 427 meV per atom
total DFT energy (no corrections) = -19.48 eV per formula unit
space-group type = R-3m (166)
energy above the lowest structure with this stoichiometry = 0.0 kJ/mol of atoms


7.
VASP calculation (GGA-PBE) on a geometry-optimized PbC3S structure.

```
PbC3S
1.0
3.8654 0.0000 0.0000
0.0000 3.8654 0.0000
0.0000 0.0000 3.8654
Pb C S
1 3 1
direct
0.0000 0.0000 0.0000 Pb
0.0000 0.5000 0.5000 C
0.5000 0.0000 0.5000 C
0.5000 0.5000 0.0000 C
0.5000 0.5000 0.5000 S
```

Computed properties:
formation energy (no corrections) = 2566 meV per atom
total DFT energy (no corrections) = -22.68 eV per formula unit
space-group type = Pm-3m (221)
energy above the lowest structure with this stoichiometry = 0.0 kJ/mol of atoms


8.
VASP calculation (GGA-PBE) on a geometry-optimized Pb2C2S structure.

```
Pb2C2S
1.0
-2.4899 2.4899 3.9957
2.4899 -2.4899 3.9957
2.4899 2.4899 -3.9957
Pb C S
2 2 1
direct
0.2500 0.7500 0.5000 Pb
0.7500 0.2500 0.5000 Pb
0.0794 0.0794 0.0000 C
0.9206 0.9206 0.0000 C
0.5000 0.5000 0.0000 S
```

Computed properties:
formation energy (no corrections) = 751 meV per atom
total DFT energy (no corrections) = -26.24 eV per formula unit
space-group type = I4/mmm (139)
energy above the lowest structure with this stoichiometry = 0.0 kJ/mol of atoms


9.
VASP calculation (GGA-PBE) on a geometry-optimized Pb3CS structure.

```
Pb3CS
1.0
5.0681 0.0000 0.0000
0.0000 5.0681 0.0000
0.0000 0.0000 5.0681
Pb C S
3 1 1
direct
0.0000 0.0000 0.5000 Pb
0.0000 0.5000 0.0000 Pb
0.5000 0.0000 0.0000 Pb
0.0000 0.0000 0.0000 C
0.5000 0.5000 0.5000 S
```

Computed properties:
formation energy (no corrections) = 844 meV per atom
total DFT energy (no corrections) = -20.26 eV per formula unit
space-group type = Pm-3m (221)
energy above the lowest structure with this stoichiometry = 0.0 kJ/mol of atoms


10.
VASP calculation (GGA-PBE) on a geometry-optimized PbCS2 structure.

```
PbCS2
1.0
0.0000 3.3393 3.3393
3.3393 0.0000 3.3393
3.3393 3.3393 0.0000
Pb C S
1 1 2
direct
0.0000 0.0000 0.0000 Pb
0.5000 0.5000 0.5000 C
0.2500 0.2500 0.2500 S
0.7500 0.7500 0.7500 S
```

Computed properties:
formation energy (no corrections) = 1626 meV per atom
total DFT energy (no corrections) = -14.68 eV per formula unit
space-group type = Fm-3m (225)
energy above the lowest structure with this stoichiometry = 115.7 kJ/mol of atoms


11.
VASP calculation (GGA-PBE) on a geometry-optimized PbC3S structure.

```
PbC3S
1.0
4.5100 0.0000 0.0000
0.0000 4.5100 0.0000
0.0000 0.0000 4.5100
Pb C S
1 3 1
direct
0.0000 0.0000 0.0000 Pb
0.0000 0.0000 0.5000 C
0.0000 0.5000 0.0000 C
0.5000 0.0000 0.0000 C
0.5000 0.5000 0.5000 S
```

Computed properties:
formation energy (no corrections) = 3665 meV per atom
total DFT energy (no corrections) = -17.18 eV per formula unit
space-group type = Pm-3m (221)
energy above the lowest structure with this stoichiometry = 106.1 kJ/mol of atoms


12.
VASP calculation (GGA-PBE) on a geometry-optimized Sm8Pb4CS3 structure.

```
Sm8Pb4CS3
1.0
6.8051 -3.9231 0.0000
6.8051 3.9231 0.0000
-4.5513 0.0000 8.0146
Sm Pb C S
8 4 1 3
direct
0.2180 0.2180 0.6871 Sm
0.2183 0.7511 0.6871 Sm
0.2489 0.7817 0.3129 Sm
0.2665 0.2665 0.3001 Sm
0.7335 0.7335 0.6999 Sm
0.7511 0.2183 0.6871 Sm
0.7817 0.2489 0.3129 Sm
0.7820 0.7820 0.3129 Sm
0.0000 0.0000 0.0000 Pb
0.0000 0.5000 0.0000 Pb
0.5000 0.0000 0.0000 Pb
0.5000 0.5000 0.0000 Pb
0.0000 0.0000 0.5000 C
0.0000 0.5000 0.5000 S
0.5000 0.0000 0.5000 S
0.5000 0.5000 0.5000 S
```

Computed properties:
formation energy (no corrections) = -1049 meV per atom
total DFT energy (no corrections) = -90.98 eV per formula unit
space-group type = C2/m (12)


no.,DOS(E_F) (states/eV/cell)
1,4.4
2,3.2
3,1.7
4,8.0
5,1.0
6,1.9
7,4.0
8,0.6
9,3.2
10,2.6
11,4.3
12,5.4